This record from Alexandria via LeMat-Bulk describes a relaxed structure of MgHgPt. The functional is PBE-GGA.

Results
SG ... Cmcm (63)
Energy relative to the lowest polymorph listed for this composition ... 0.00 eV/f.u.
Energy of formation ... -0.44 eV/atom

extended XYZ file:
```
6
Lattice="-0.2781 -1.2949 -2.7234 1.4224 -3.9065 1.7123 -8.0426 -1.5148 3.2253" Properties=species:S:1:pos:R:3 pbc="T T T"
Mg -0.8344 -1.2911 0.6991
Mg -6.0639 -5.4251 1.5150
Pt -0.0451 -3.8345 0.1441
Pt -6.8533 -2.8818 2.0701
Hg -2.2560 -3.8080 2.0410
Hg -4.6423 -2.9082 0.1731
```

***

This record from Alexandria via LeMat-Bulk describes a relaxed structure of Ti5B2As. The functional is PBE-GGA.

Results
SG ... I4/mcm (140)
Energy of formation ... -0.70 eV/atom

extended XYZ file:
```
16
Lattice="-4.4567 -0.6594 4.1268 -3.0498 -3.6117 -3.8707 6.4636 -2.4967 2.0588" Properties=species:S:1:pos:R:3 pbc="T T T"
Ti 3.7606 -2.1103 2.1542
Ti -3.9600 -2.9525 2.7270
Ti 0.0000 0.0000 0.0000
Ti -3.7532 -2.1356 0.1281
Ti -2.1089 -3.7756 -1.3109
Ti 1.0660 -2.9922 3.6258
Ti -4.8035 -4.6575 0.1607
Ti 0.2225 -4.6972 1.0595
Ti -1.2654 -2.0706 1.2554
Ti 2.9171 -3.8153 -0.4121
As 1.3552 -2.3161 1.0934
As -2.3981 -4.4517 1.2215
B -1.6789 -1.4827 -1.0598
B -5.8276 -2.7884 1.3160
B -4.4564 -3.4738 -1.8353
B -3.0501 -0.7973 2.0914
```

***

This record from Alexandria via LeMat-Bulk describes a relaxed structure of LiCaSm2S4. The functional is PBE-GGA.

Results
SG ... Cmcm (63)
Formation energy from raw total energies ... -1.89 eV per atom

extended XYZ file:
```
16
Lattice="-2.6227 2.8539 0.7041 -3.2854 -4.8606 -3.5568 -3.6125 -6.2508 11.8791" Properties=species:S:1:pos:R:3 pbc="T T T"
S -3.8872 -4.2379 2.6978
S -5.6334 -4.0196 6.3287
S -6.5409 -5.5898 9.3128
S -1.8062 -3.1254 5.9396
S -2.9797 -2.6677 -0.2863
S -2.6355 -0.4502 3.0283
S 0.0000 0.0000 0.0000
S -6.8851 -7.8073 5.9981
Sm -6.7972 -8.4225 8.8188
Sm -4.1081 -2.2310 4.7611
Sm -2.7234 0.1649 0.2077
Sm -5.4125 -6.0265 4.2654
Li -7.2382 -5.6645 7.0183
Li -2.2824 -2.5930 2.0082
Ca -3.7922 -5.4970 8.1544
Ca -5.7283 -2.7605 0.8721
```

***

This record from Alexandria via LeMat-Bulk describes a relaxed structure of YTiNO2. The functional is PBE-GGA.

Results
SG ... P4/mmm (123)
Formation energy from raw total energies ... -2.42 eV per atom

extended XYZ file:
```
5
Lattice="-0.8833 -3.0837 -2.0956 3.7046 -0.4832 -0.8504 0.4424 -2.3396 3.2563" Properties=species:S:1:pos:R:3 pbc="T T T"
Y 1.6318 -2.9533 0.1552
O 1.8523 -0.2416 -0.4252
O -0.4417 -1.5419 -1.0478
Ti 0.0000 0.0000 0.0000
N 0.2212 -1.1698 1.6282
```

***

The VASP energy results, record by record, are as follows: -18.52; -126.24; -90.01; -44.71 eV for the cell shown.